This record from the Alexandria database describes an optimized crystal structure of Ca2CdW. The functional is PBE-GGA.

Results
- ΔH_f (0 K): 0.65 eV per atom
- Space-group type: Cmmm, No. 65

Cell: 5.814 5.814 3.053 Å, 90.00 90.00 112.26°
Fractional coordinates of all 4 atoms:
Ca  0.000  0.500  0.000
Ca  0.500  0.000  0.000
Cd  0.000  0.000  0.500
W  0.500  0.500  0.500



This record from the Alexandria database describes an optimized crystal structure of GaNi2Cl. The functional is PBE-GGA.

Results
- Formation energy without anion corrections: 0.17 eV/atom
- Offset from the most stable computed form: 0.0 meV per atom
- Space-group type: I-42d, No. 122

Cell: 7.503 7.503 7.503 Å, 146.03 146.03 48.81°
Fractional coordinates of all 8 atoms:
Ga  0.000  0.000  0.000
Ga  0.750  0.250  0.500
Ni  0.174  0.625  0.049
Ni  0.375  0.424  0.549
Ni  0.576  0.125  0.951
Ni  0.875  0.826  0.451
Cl  0.250  0.750  0.500
Cl  0.500  0.500  0.000



| no. | VASP energy (eV/atom) |
| --- | --- |
| 1 | -3.815 |
| 2 | -3.934 |